# 1
# SrSi2Pd2

A relaxed SrSi2Pd2 crystal (PBE-GGA, the Open Quantum Materials Database).

Geometry as POSCAR:
```
SrSi2Pd2
1.0
-2.1539 2.1539 5.0043
2.1539 -2.1539 5.0043
2.1539 2.1539 -5.0043
Sr Si Pd
1 2 2
Direct
0.0000 0.0000 0.0000
0.3752 0.3752 0.0000
0.6248 0.6248 0.0000
0.2500 0.7500 0.5000
0.7500 0.2500 0.5000
```

Calculated values
The energy comes out at -26.619 eV for the cell shown. The density comes out at 6.4 Mg/m³.



# 2
# Sr2TlSiPd4

A relaxed Sr2TlSiPd4 crystal (PBE-GGA, the Open Quantum Materials Database).

Geometry as POSCAR:
```
Sr2TlSiPd4
1.0
5.6462 0.0000 0.0000
0.0000 1.5884 13.6094
0.0000 -1.5884 13.6094
Sr Tl Si Pd
2 1 1 4
Direct
0.0000 0.0000 0.0000
0.0000 0.1694 0.1694
0.0000 0.3933 0.3933
0.0000 0.7673 0.7673
0.2691 0.0843 0.0843
0.2699 0.8283 0.8283
0.7301 0.8283 0.8283
0.7309 0.0843 0.0843
```

Calculated values
The energy comes out at -29.942 eV for the cell shown. The density comes out at 5.7 Mg/m³.



# 3
# SrZnSi2Pd

A relaxed SrZnSi2Pd crystal (PBE-GGA, the Open Quantum Materials Database).

Geometry as POSCAR:
```
SrZnSi2Pd
1.0
-2.1334 2.1334 5.1512
2.1334 -2.1334 5.1512
2.1334 2.1334 -5.1512
Sr Zn Si Pd
1 1 2 1
Direct
0.0000 0.0000 0.0000
0.2500 0.7500 0.5000
0.3829 0.3829 0.0000
0.6171 0.6171 0.0000
0.7500 0.2500 0.5000
```

Calculated values
The energy comes out at -21.737 eV for the cell shown. The density comes out at 5.6 Mg/m³.



- Among the records above, which one has the highest energy?
  SrZnSi2Pd



- Among the records above, which one has the highest density?
  SrSi2Pd2



- Which of these has the highest energy?
  SrZnSi2Pd



- Which of these has the highest energy?
  SrZnSi2Pd